Material: K2Si4O9
Method: DFT, PBEsol
State: relaxed

a b c (Å): 6.6190 6.6190 9.5784
angles (deg): 90.00 90.00 120.00
Space group P6_3/m (No. 176)
Symmetry-distinct sites (fractional):
K  0.3333  0.6667  0.0569 [4 per cell]
Si  0.0000  0.0000  0.0000 [2 per cell]
Si  0.1300  0.7656  0.7500 [6 per cell]
O  0.0189  0.7877  0.6056 [12 per cell]
O  0.0715  0.4893  0.7500 [6 per cell]

Values from the calculation:
The calculation puts the uncorrected formation energy at -2.673 eV/atom. As for the electronic total energy: -7.51 eV/atom. The value obtained for the total magnetic moment is 0.00 μB per formula unit. The crystal system is hexagonal.

***

Material: K2Si4O9
Method: DFT, PBEsol
State: relaxed

a b c (Å): 4.9650 8.3912 12.2420
angles (deg): 70.52 89.84 88.69
Space group P-1 (No. 2)
Symmetry-distinct sites (fractional):
K  0.2342  0.4331  0.1352 [2 per cell]
K  0.2541  0.9001  0.6577 [2 per cell]
Si  0.2075  0.9407  0.1459 [2 per cell]
Si  0.2101  0.7039  0.4019 [2 per cell]
Si  0.2788  0.3155  0.4449 [2 per cell]
Si  0.2944  0.8300  0.9383 [2 per cell]
O  0.0946  0.2534  0.5648 [2 per cell]
O  0.1052  0.9940  0.8601 [2 per cell]
O  0.2277  0.5213  0.3837 [2 per cell]
O  0.2332  0.2156  0.3585 [2 per cell]
O  0.2434  0.8053  0.0770 [2 per cell]
O  0.2511  0.6634  0.9089 [2 per cell]
O  0.2907  0.8481  0.2810 [2 per cell]
O  0.3937  0.1041  0.0911 [2 per cell]
O  0.4081  0.7144  0.5045 [2 per cell]

Values from the calculation:
The calculation puts the uncorrected formation energy at -2.663 eV/atom. As for the electronic total energy: -7.50 eV/atom. The value obtained for the total magnetic moment is 0.12 μB per formula unit. The crystal system is triclinic.

***

Material: K2Si2O5
Method: DFT, PBEsol
State: relaxed

a b c (Å): 16.5525 11.2651 9.9908
angles (deg): 90.00 116.55 90.00
Space group Cc (No. 9)
Symmetry-distinct sites (fractional):
K  0.0000  0.0151  0.0000 [4 per cell]
K  0.0274  0.2327  0.7613 [4 per cell]
K  0.0659  0.4742  0.9371 [4 per cell]
K  0.1626  0.2230  0.5969 [4 per cell]
K  0.3164  0.2331  0.9940 [4 per cell]
K  0.3669  0.2420  0.4034 [4 per cell]
Si  0.1074  0.2719  0.2110 [4 per cell]
Si  0.2054  0.0277  0.3488 [4 per cell]
Si  0.2233  0.4821  0.7985 [4 per cell]
Si  0.3333  0.0163  0.6963 [4 per cell]
Si  0.3448  0.4825  0.6405 [4 per cell]
Si  0.4506  0.2527  0.8010 [4 per cell]
O  0.0454  0.2976  0.3016 [4 per cell]
O  0.0482  0.2427  0.0401 [4 per cell]
O  0.1249  0.0582  0.7545 [4 per cell]
O  0.1654  0.3767  0.8159 [4 per cell]
O  0.1670  0.3939  0.2335 [4 per cell]
O  0.1839  0.1720  0.3158 [4 per cell]
O  0.2418  0.0147  0.5325 [4 per cell]
O  0.2588  0.4398  0.6731 [4 per cell]
O  0.2962  0.0024  0.8248 [4 per cell]
O  0.3116  0.4809  0.4568 [4 per cell]
O  0.3699  0.1547  0.7098 [4 per cell]
O  0.3860  0.3952  0.2177 [4 per cell]
O  0.4051  0.0845  0.2205 [4 per cell]
O  0.4191  0.3715  0.6917 [4 per cell]
O  0.4687  0.2772  0.9678 [4 per cell]

Values from the calculation:
The calculation puts the uncorrected formation energy at -2.539 eV/atom. As for the electronic total energy: -6.98 eV/atom. The value obtained for the total magnetic moment is 0.02 μB per formula unit. The crystal system is monoclinic.

***

Question: Which value of total magnetic moment does entry 1 give?
Answer: 0.00 μB per formula unit

***

Question: Number 1 is which compound?
Answer: K2Si4O9